[1]
First-principles (PBE) data for LaDyCoPt after structural relaxation, as listed in the Alexandria database.

a = 7.023 Å, b = 7.023 Å, c = 7.023 Å
α = 90.00°, β = 90.00°, γ = 90.00°
Atoms (fractional coordinates):
La: 0.000 0.000 0.000
La: 0.000 0.500 0.500
La: 0.500 0.000 0.500
La: 0.500 0.500 0.000
Dy: 0.000 0.000 0.500
Dy: 0.000 0.500 0.000
Dy: 0.500 0.000 0.000
Dy: 0.500 0.500 0.500
Co: 0.250 0.250 0.250
Co: 0.250 0.750 0.750
Co: 0.750 0.250 0.750
Co: 0.750 0.750 0.250
Pt: 0.250 0.250 0.750
Pt: 0.250 0.750 0.250
Pt: 0.750 0.250 0.250
Pt: 0.750 0.750 0.750

The space group is F-43m, No. 216.

[2]
First-principles (PBE) data for LaDyCoRu after structural relaxation, as listed in the Alexandria database.

a = 6.906 Å, b = 6.906 Å, c = 6.906 Å
α = 90.00°, β = 90.00°, γ = 90.00°
Atoms (fractional coordinates):
La: 0.000 0.000 0.000
La: 0.000 0.500 0.500
La: 0.500 0.000 0.500
La: 0.500 0.500 0.000
Dy: 0.000 0.000 0.500
Dy: 0.000 0.500 0.000
Dy: 0.500 0.000 0.000
Dy: 0.500 0.500 0.500
Co: 0.250 0.250 0.750
Co: 0.250 0.750 0.250
Co: 0.750 0.250 0.250
Co: 0.750 0.750 0.750
Ru: 0.250 0.250 0.250
Ru: 0.250 0.750 0.750
Ru: 0.750 0.250 0.750
Ru: 0.750 0.750 0.250

The space group is F-43m, No. 216.

[3]
First-principles (PBE) data for LaSmDyCo after structural relaxation, as listed in the Alexandria database.

a = 3.553 Å, b = 4.753 Å, c = 13.318 Å
α = 90.00°, β = 90.00°, γ = 90.00°
Atoms (fractional coordinates):
La: 0.000 0.000 0.000
La: 0.000 0.500 0.500
Sm: 0.500 0.000 0.657
Sm: 0.500 0.500 0.157
Dy: 0.500 0.000 0.338
Dy: 0.500 0.500 0.838
Co: 0.000 0.000 0.819
Co: 0.000 0.500 0.319

The space group is Amm2, No. 38.

The calculation returns the following theoretical density values, one per record and in order: 10649 9305 7542 kg/m3.
The calculation returns the following ΔE_f values, one per record and in order: -2.20 -0.41 0.03 eV/f.u..
The calculation returns the following magnetization values, one per record and in order: 0.01 0.05 0.00 μB per cell.